(1)
The following is a PBE-GGA calculation of an optimized crystal structure of CaY2CdH, from the Alexandria database.

For the uncorrected energy, the calculation gives -4.0375 eV per atom.

Cell lengths 4.8657, 4.8657, 5.0308 Å; angles 90.00, 90.00, 90.00 degrees
With the nearest neighbours (Å) after each atom.
Element x y z (fractional)
Ca  0.0000  0.0000  0.0000  2 H 2.52
Y  0.0000  0.5000  0.5000  2 H 2.43
Y  0.5000  0.0000  0.5000  2 H 2.43
Cd  0.5000  0.5000  0.0000  4 Ca 3.44, 8 Y 3.50
H  0.0000  0.0000  0.5000  4 Y 2.43, 2 Ca 2.52

(2)
The following is a PBE-GGA calculation of an optimized crystal structure of PaTlZnAu, from the Alexandria database.

For the uncorrected energy, the calculation gives -4.1678 eV per atom. For the formation enthalpy at 0 K, the calculation gives -64 meV per atom.

Cell lengths 4.9780, 4.9780, 4.9780 Å; angles 60.00, 60.00, 60.00 degrees
With the nearest neighbours (Å) after each atom.
Element x y z (fractional)
Pa  0.0000  0.0000  0.0000  4 Zn 3.05, 4 Au 3.05
Tl  0.5000  0.5000  0.5000  4 Au 3.05, 4 Zn 3.05
Zn  0.2500  0.2500  0.2500  4 Tl 3.05, 4 Pa 3.05
Au  0.7500  0.7500  0.7500  4 Tl 3.05, 4 Pa 3.05